Entry 1:
VASP calculation (PBE) on PrIn2Ni9 after structural relaxation.

The space group is P4/mbm (No. 127) and the conventional cell measures 8.280, 8.280 and 4.857 Å, with angles of 90.00, 90.00 and 90.00 degrees. Symmetry generates all atoms from Pr at (0.000, 0.000, 0.000), In at (0.124, 0.376, 0.000), Ni at (0.000, 0.500, 0.500), Ni at (0.065, 0.209, 0.500) and Ni at (0.176, 0.676, 0.249).

The calculation puts the total magnetic moment at 0.17 μB per formula unit. The energy is -5.2410 eV per atom.

***

Entry 2:
VASP calculation (PBE) on Li2Ho6Cl after structural relaxation.

The space group is P-62m (No. 189) and the conventional cell measures 8.8497, 8.8497 and 3.5117 Å, with angles of 90.00, 90.00 and 120.00 degrees. Symmetry generates all atoms from Li at (0.3333, 0.6667, 0.0000), Ho at (0.0000, 0.2591, 0.0000), Ho at (0.0000, 0.5967, 0.5000) and Cl at (0.0000, 0.0000, 0.5000).

The calculation puts the total magnetic moment at 0.00 μB per formula unit. The energy is -3.8024 eV per atom.

***

Entry 3:
VASP calculation (PBE) on OsO2 after structural relaxation.

The space group is Pbcn (No. 60) and the conventional cell measures 4.790, 5.615 and 4.670 Å, with angles of 90.00, 90.00 and 90.00 degrees. Symmetry generates all atoms from Os at (0.000, 0.120, 0.250) and O at (0.242, 0.367, 0.082).

The calculation puts the total magnetic moment at 0.00 μB per formula unit. The energy is -7.8862 eV per atom.

***

Entry 4:
VASP calculation (PBE) on DyCo2Ge2 after structural relaxation.

The space group is I4/mmm (No. 139) and the conventional cell measures 3.966, 3.966 and 10.070 Å, with angles of 90.00, 90.00 and 90.00 degrees. Symmetry generates all atoms from Dy at (0.000, 0.000, 0.000), Co at (0.000, 0.500, 0.250) and Ge at (0.000, 0.000, 0.372).

The calculation puts the total magnetic moment at 0.05 μB per formula unit. The energy is -6.2231 eV per atom.